VASP calculation (GGA-PBE) on an optimized crystal structure of Tb2HoF11.

Calculated volume = 17.06 Å³ per atom
DOS at the Fermi energy = 22.360 states/eV per cell
Space group = Ibam

a b c (Å): 8.642 8.642 8.642
angles (deg): 121.84 107.35 100.03
Fractional coordinates of all 28 atoms:
Tb 0.190 0.160 0.350
Tb 0.310 0.660 0.971
Tb 0.690 0.340 0.029
Tb 0.810 0.840 0.650
Ho 0.250 0.750 0.500
Ho 0.750 0.250 0.500
F 0.000 0.000 0.000
F 0.025 0.457 0.770
F 0.059 0.838 0.628
F 0.186 0.957 0.431
F 0.193 0.891 0.084
F 0.210 0.431 0.372
F 0.290 0.662 0.221
F 0.307 0.391 0.699
F 0.314 0.745 0.770
F 0.441 0.069 0.779
F 0.475 0.245 0.431
F 0.500 0.500 0.000
F 0.525 0.755 0.569
F 0.559 0.931 0.221
F 0.686 0.255 0.230
F 0.693 0.609 0.301
F 0.710 0.338 0.779
F 0.790 0.569 0.628
F 0.807 0.109 0.916
F 0.814 0.043 0.569
F 0.941 0.162 0.372
F 0.975 0.543 0.230

VASP calculation (GGA-PBE) on an optimized crystal structure of TbHo2F.

Calculated volume = 25.86 Å³ per atom
DOS at the Fermi energy = 7.027 states/eV per cell
Space group = R-3m

a b c (Å): 9.424 9.424 9.424
angles (deg): 22.05 22.05 22.05
Fractional coordinates of all 4 atoms:
Tb 0.000 0.000 0.000
Ho 0.118 0.118 0.118
Ho 0.882 0.882 0.882
F 0.500 0.500 0.500

One value per record, in order, for calculated total energy: -5.916; -4.763 eV/atom.